{"formula": "SrCu2Sb", "functional": "PBE", "state": "relaxed", "sg": "Imm2", "magnetic_moment_mub_per_fu": 0.00, "lattice_angstrom": [[-0.7849, -5.1064, 0.5291], [5.1317, -0.5227, 0.6028], [-3.3424, 2.6256, 2.9842]], "species": ["Cu", "Cu", "Sr", "Sb"], "frac_coords": [[0.0715, 0.0715, 0.0000], [0.2446, 0.7446, 0.5000], [0.7497, 0.2497, 0.5000], [0.4343, 0.4343, 0.0000]]}

---

{"formula": "Cs3SnAs2", "functional": "PBE", "state": "relaxed", "sg": "C2/m", "e_form_mev_per_atom": -312, "magnetic_moment_mub_per_fu": 0.23, "lattice_angstrom": [[4.9423, 0.0000, 0.0000], [2.4711, 10.6315, 0.3308], [2.4711, 2.8405, 11.8742]], "species": ["As", "As", "As", "As", "Sn", "Sn", "Cs", "Cs", "Cs", "Cs", "Cs", "Cs"], "frac_coords": [[0.5813, 0.3032, 0.5342], [0.1273, 0.5205, 0.2249], [0.8727, 0.4795, 0.7751], [0.4187, 0.6968, 0.4658], [0.5706, 0.5103, 0.3484], [0.4294, 0.4897, 0.6516], [0.7883, 0.8031, 0.6203], [0.3380, 0.3323, 0.9918], [0.9510, 0.8320, 0.2660], [0.0490, 0.1680, 0.7340], [0.2117, 0.1969, 0.3797], [0.6620, 0.6677, 0.0082]]}

---

| no. | E (eV per atom) |
| --- | --- |
| 1 | -3.551 |
| 2 | -2.956 |